# 1
KZn5: relaxed, GGA-PBE.

a b c (Å): 5.820 5.820 4.135
angles (deg): 90.00 90.00 120.00
Element x y z (fractional)
K  0.000  0.000  0.000
Zn  0.000  0.500  0.500
Zn  0.333  0.667  0.000
Zn  0.500  0.000  0.500
Zn  0.500  0.500  0.500
Zn  0.667  0.333  0.000

## Properties
M_tot ... 0.00 μB per atom
Excess energy over the best structure of this formula in the dataset ... 0.0 meV/atom
VASP energy ... -7.3 eV per cell
ΔE_f ... 0.03 eV per atom

# 2
KZn: relaxed, GGA-PBE.

a b c (Å): 9.301 9.301 9.301
angles (deg): 93.27 93.27 152.37
Element x y z (fractional)
K  0.000  0.259  0.259
K  0.000  0.741  0.741
K  0.259  0.000  0.259
K  0.741  0.000  0.741
Zn  0.282  0.282  0.564
Zn  0.282  0.718  0.000
Zn  0.718  0.282  0.000
Zn  0.718  0.718  0.436

## Properties
M_tot ... 0.00 μB per atom
VASP energy ... -8.6 eV per cell
ΔE_f ... 0.11 eV per atom

# 3
KZn2: relaxed, GGA-PBE.

a b c (Å): 3.075 8.674 6.200
angles (deg): 90.00 90.00 90.00
Element x y z (fractional)
K  0.000  0.000  0.000
K  0.500  0.500  0.500
Zn  0.243  0.371  0.000
Zn  0.257  0.871  0.500
Zn  0.743  0.129  0.500
Zn  0.757  0.629  0.000

## Properties
M_tot ... 0.00 μB per atom
VASP energy ... -5.5 eV per cell
ΔE_f ... 0.30 eV per atom

# 4
KZn: relaxed, GGA-PBE.

a b c (Å): 9.368 9.368 9.368
angles (deg): 27.73 27.73 27.73
Element x y z (fractional)
K  0.090  0.090  0.090
K  0.910  0.910  0.910
Zn  0.333  0.333  0.333
Zn  0.667  0.667  0.667

## Properties
M_tot ... 0.00 μB per atom
VASP energy ... -4.5 eV per cell
ΔE_f ... 0.05 eV per atom

# 5
KZn: relaxed, GGA-PBE.

a b c (Å): 9.528 9.528 5.926
angles (deg): 90.00 90.00 120.00
Element x y z (fractional)
K  0.185  0.370  0.250
K  0.185  0.815  0.250
K  0.370  0.185  0.750
K  0.630  0.815  0.250
K  0.815  0.185  0.750
K  0.815  0.630  0.750
Zn  0.151  0.576  0.750
Zn  0.424  0.576  0.750
Zn  0.424  0.849  0.750
Zn  0.576  0.151  0.250
Zn  0.576  0.424  0.250
Zn  0.849  0.424  0.250

## Properties
M_tot ... 0.00 μB per atom
VASP energy ... -12.7 eV per cell
ΔE_f ... 0.13 eV per atom

# 6
K5Zn4: relaxed, GGA-PBE.

a b c (Å): 10.605 10.605 7.374
angles (deg): 90.00 90.00 120.00
Element x y z (fractional)
K  0.000  0.275  0.250
K  0.000  0.725  0.750
K  0.275  0.000  0.250
K  0.275  0.275  0.750
K  0.333  0.667  0.000
K  0.333  0.667  0.500
K  0.667  0.333  0.000
K  0.667  0.333  0.500
K  0.725  0.000  0.750
K  0.725  0.725  0.250
Zn  0.000  0.000  0.000
Zn  0.000  0.000  0.500
Zn  0.000  0.389  0.750
Zn  0.000  0.611  0.250
Zn  0.389  0.000  0.750
Zn  0.389  0.389  0.250
Zn  0.611  0.000  0.250
Zn  0.611  0.611  0.750

## Properties
M_tot ... 0.00 μB per atom
VASP energy ... -17.6 eV per cell
ΔE_f ... 0.20 eV per atom

- What is the formula in the first record?
  KZn5

- Which of these has the lowest ΔE_f?
  KZn5